LaSmMg2Hg2: optimized geometry, PBE.

Mass density ... 7.9 g/cm³
Energy of formation from the pure elements ... -0.363 eV per atom
Crystal system ... trigonal
Size of the total moment ... 0.00 μB per formula unit
Uncorrected energy ... -2.603 eV per atom

abc: 5.095 5.095 6.902
angles: 90.00 90.00 120.00
Fractional coordinates of all 6 atoms:
1 La 0.000 0.000 0.000
2 Sm 0.000 0.000 0.500
3 Mg 0.333 0.667 0.740
4 Mg 0.667 0.333 0.260
5 Hg 0.333 0.667 0.257
6 Hg 0.667 0.333 0.743

***

LaMgSnHg2: optimized geometry, PBE.

Mass density ... 6.0 g/cm³
Energy of formation from the pure elements ... 0.243 eV per atom
Crystal system ... tetragonal
Size of the total moment ... 0.00 μB per formula unit
Uncorrected energy ... -1.983 eV per atom

abc: 5.547 5.547 6.180
angles: 90.00 90.00 90.00
Fractional coordinates of all 5 atoms:
1 La 0.000 0.000 0.000
2 Mg 0.500 0.500 0.000
3 Sn 0.000 0.000 0.500
4 Hg 0.000 0.500 0.500
5 Hg 0.500 0.000 0.500

***

LaMg2Sn2Hg2: optimized geometry, PBE.

Mass density ... 7.7 g/cm³
Energy of formation from the pure elements ... -0.289 eV per atom
Crystal system ... trigonal
Size of the total moment ... 0.00 μB per formula unit
Uncorrected energy ... -2.678 eV per atom

abc: 8.798 8.798 8.798
angles: 32.89 32.89 32.89
Fractional coordinates of all 7 atoms:
1 La 0.000 0.000 0.000
2 Mg 0.139 0.139 0.139
3 Mg 0.861 0.861 0.861
4 Sn 0.261 0.261 0.261
5 Sn 0.739 0.739 0.739
6 Hg 0.439 0.439 0.439
7 Hg 0.561 0.561 0.561

***

LaMgSnHg: optimized geometry, PBE.

Mass density ... 7.5 g/cm³
Energy of formation from the pure elements ... -0.466 eV per atom
Crystal system ... cubic
Size of the total moment ... 0.00 μB per formula unit
Uncorrected energy ... -3.172 eV per atom

abc: 7.533 7.533 7.533
angles: 90.00 90.00 90.00
Fractional coordinates of all 16 atoms:
1 La 0.000 0.000 0.000
2 La 0.000 0.500 0.500
3 La 0.500 0.000 0.500
4 La 0.500 0.500 0.000
5 Mg 0.000 0.000 0.500
6 Mg 0.000 0.500 0.000
7 Mg 0.500 0.000 0.000
8 Mg 0.500 0.500 0.500
9 Sn 0.250 0.250 0.250
10 Sn 0.250 0.750 0.750
11 Sn 0.750 0.250 0.750
12 Sn 0.750 0.750 0.250
13 Hg 0.250 0.250 0.750
14 Hg 0.250 0.750 0.250
15 Hg 0.750 0.250 0.250
16 Hg 0.750 0.750 0.750

***

SrLaMg2Hg4: optimized geometry, PBE.

Mass density ... 8.6 g/cm³
Energy of formation from the pure elements ... -0.439 eV per atom
Crystal system ... trigonal
Size of the total moment ... 0.00 μB per formula unit
Uncorrected energy ... -1.815 eV per atom

abc: 9.294 9.294 9.294
angles: 32.73 32.73 32.73
Fractional coordinates of all 8 atoms:
1 Sr 0.000 0.000 0.000
2 La 0.500 0.500 0.500
3 Mg 0.248 0.248 0.248
4 Mg 0.752 0.752 0.752
5 Hg 0.124 0.124 0.124
6 Hg 0.377 0.377 0.377
7 Hg 0.623 0.623 0.623
8 Hg 0.876 0.876 0.876

***

LaTbMgHg: optimized geometry, PBE.

Mass density ... 7.6 g/cm³
Distance to the lowest polymorph of the same formula ... 27 meV per atom
Energy of formation from the pure elements ... -0.263 eV per atom
Crystal system ... cubic
Size of the total moment ... 0.26 μB per formula unit
Uncorrected energy ... -3.126 eV per atom

abc: 7.695 7.695 7.695
angles: 90.00 90.00 90.00
Fractional coordinates of all 16 atoms:
1 La 0.000 0.000 0.000
2 La 0.000 0.500 0.500
3 La 0.500 0.000 0.500
4 La 0.500 0.500 0.000
5 Tb 0.000 0.000 0.500
6 Tb 0.000 0.500 0.000
7 Tb 0.500 0.000 0.000
8 Tb 0.500 0.500 0.500
9 Mg 0.250 0.250 0.250
10 Mg 0.250 0.750 0.750
11 Mg 0.750 0.250 0.750
12 Mg 0.750 0.750 0.250
13 Hg 0.250 0.250 0.750
14 Hg 0.250 0.750 0.250
15 Hg 0.750 0.250 0.250
16 Hg 0.750 0.750 0.750

***

LaTbMgHg: optimized geometry, PBE.

Mass density ... 7.6 g/cm³
Distance to the lowest polymorph of the same formula ... 0 meV per atom
Energy of formation from the pure elements ... -0.290 eV per atom
Crystal system ... tetragonal
Size of the total moment ... 0.00 μB per formula unit
Uncorrected energy ... -3.153 eV per atom

abc: 3.829 3.829 7.769
angles: 90.00 90.00 90.00
Fractional coordinates of all 4 atoms:
1 La 0.000 0.000 0.000
2 Tb 0.000 0.000 0.493
3 Mg 0.500 0.500 0.731
4 Hg 0.500 0.500 0.276

***

LaTbMg2Hg2: optimized geometry, PBE.

Mass density ... 8.1 g/cm³
Energy of formation from the pure elements ... -0.355 eV per atom
Crystal system ... trigonal
Size of the total moment ... 0.00 μB per formula unit
Uncorrected energy ... -2.580 eV per atom

abc: 5.068 5.068 6.894
angles: 90.00 90.00 120.00
Fractional coordinates of all 6 atoms:
1 La 0.000 0.000 0.000
2 Tb 0.000 0.000 0.500
3 Mg 0.333 0.667 0.735
4 Mg 0.667 0.333 0.265
5 Hg 0.333 0.667 0.261
6 Hg 0.667 0.333 0.739

***

LaTb2MgHg4: optimized geometry, PBE.

Mass density ... 10.2 g/cm³
Energy of formation from the pure elements ... -0.447 eV per atom
Crystal system ... trigonal
Size of the total moment ... 0.00 μB per formula unit
Uncorrected energy ... -2.570 eV per atom

abc: 9.595 9.595 9.595
angles: 31.11 31.11 31.11
Fractional coordinates of all 8 atoms:
1 La 0.000 0.000 0.000
2 Tb 0.241 0.241 0.241
3 Tb 0.759 0.759 0.759
4 Mg 0.500 0.500 0.500
5 Hg 0.127 0.127 0.127
6 Hg 0.383 0.383 0.383
7 Hg 0.617 0.617 0.617
8 Hg 0.873 0.873 0.873

***

La2MgTcHg: optimized geometry, PBE.

Mass density ... 6.6 g/cm³
Energy of formation from the pure elements ... -0.074 eV per atom
Crystal system ... tetragonal
Size of the total moment ... 0.00 μB per formula unit
Uncorrected energy ... -4.498 eV per atom

abc: 5.342 5.342 5.278
angles: 90.00 90.00 90.00
Fractional coordinates of all 5 atoms:
1 La 0.000 0.500 0.000
2 La 0.500 0.000 0.000
3 Mg 0.000 0.000 0.500
4 Tc 0.000 0.000 0.000
5 Hg 0.500 0.500 0.500

***

LaMgTlHg: optimized geometry, PBE.

Mass density ... 8.8 g/cm³
Energy of formation from the pure elements ... -0.414 eV per atom
Crystal system ... cubic
Size of the total moment ... 0.00 μB per formula unit
Uncorrected energy ... -2.711 eV per atom

abc: 7.539 7.539 7.539
angles: 90.00 90.00 90.00
Fractional coordinates of all 16 atoms:
1 La 0.000 0.000 0.000
2 La 0.000 0.500 0.500
3 La 0.500 0.000 0.500
4 La 0.500 0.500 0.000
5 Mg 0.000 0.000 0.500
6 Mg 0.000 0.500 0.000
7 Mg 0.500 0.000 0.000
8 Mg 0.500 0.500 0.500
9 Tl 0.250 0.250 0.750
10 Tl 0.250 0.750 0.250
11 Tl 0.750 0.250 0.250
12 Tl 0.750 0.750 0.750
13 Hg 0.250 0.250 0.250
14 Hg 0.250 0.750 0.750
15 Hg 0.750 0.250 0.750
16 Hg 0.750 0.750 0.250

***

LaTmMg2Hg2: optimized geometry, PBE.

Mass density ... 8.3 g/cm³
Energy of formation from the pure elements ... -0.340 eV per atom
Crystal system ... trigonal
Size of the total moment ... 0.00 μB per formula unit
Uncorrected energy ... -2.538 eV per atom

abc: 5.029 5.029 6.934
angles: 90.00 90.00 120.00
Fractional coordinates of all 6 atoms:
1 La 0.000 0.000 0.000
2 Tm 0.000 0.000 0.500
3 Mg 0.333 0.667 0.730
4 Mg 0.667 0.333 0.270
5 Hg 0.333 0.667 0.264
6 Hg 0.667 0.333 0.736

***

LaTmMgHg: optimized geometry, PBE.

Mass density ... 7.9 g/cm³
Energy of formation from the pure elements ... -0.280 eV per atom
Crystal system ... tetragonal
Size of the total moment ... 0.00 μB per formula unit
Uncorrected energy ... -3.104 eV per atom

abc: 3.762 3.762 7.891
angles: 90.00 90.00 90.00
Fractional coordinates of all 4 atoms:
1 La 0.000 0.000 0.000
2 Tm 0.000 0.000 0.487
3 Mg 0.500 0.500 0.724
4 Hg 0.500 0.500 0.281

***

La2MgVHg: optimized geometry, PBE.

Mass density ... 5.1 g/cm³
Energy of formation from the pure elements ... 0.566 eV per atom
Crystal system ... tetragonal
Size of the total moment ... 3.92 μB per formula unit
Uncorrected energy ... -3.608 eV per atom

abc: 5.959 5.959 5.124
angles: 90.00 90.00 90.00
Fractional coordinates of all 5 atoms:
1 La 0.000 0.500 0.000
2 La 0.500 0.000 0.000
3 Mg 0.000 0.000 0.500
4 V 0.500 0.500 0.500
5 Hg 0.500 0.500 0.000

***

LaMgHgW2: optimized geometry, PBE.

Mass density ... 10.4 g/cm³
Energy of formation from the pure elements ... 1.571 eV per atom
Crystal system ... tetragonal
Size of the total moment ... 0.00 μB per formula unit
Uncorrected energy ... -4.975 eV per atom

abc: 4.873 4.873 4.929
angles: 90.00 90.00 90.00
Fractional coordinates of all 5 atoms:
1 La 0.000 0.000 0.000
2 Mg 0.500 0.500 0.500
3 Hg 0.500 0.500 0.000
4 W 0.000 0.500 0.500
5 W 0.500 0.000 0.500

***

LaYMgHg: optimized geometry, PBE.

Mass density ... 6.6 g/cm³
Energy of formation from the pure elements ... -0.300 eV per atom
Crystal system ... tetragonal
Size of the total moment ... 0.00 μB per formula unit
Uncorrected energy ... -3.622 eV per atom

abc: 3.816 3.816 7.817
angles: 90.00 90.00 90.00
Fractional coordinates of all 4 atoms:
1 La 0.000 0.000 0.000
2 Y 0.000 0.000 0.492
3 Mg 0.500 0.500 0.729
4 Hg 0.500 0.500 0.274

***

LaYMg2Hg4: optimized geometry, PBE.

Mass density ... 9.2 g/cm³
Energy of formation from the pure elements ... -0.474 eV per atom
Crystal system ... trigonal
Size of the total moment ... 0.00 μB per formula unit
Uncorrected energy ... -2.448 eV per atom

abc: 8.995 8.995 8.995
angles: 33.29 33.29 33.29
Fractional coordinates of all 8 atoms:
1 La 0.000 0.000 0.000
2 Y 0.500 0.500 0.500
3 Mg 0.249 0.249 0.249
4 Mg 0.751 0.751 0.751
5 Hg 0.128 0.128 0.128
6 Hg 0.379 0.379 0.379
7 Hg 0.621 0.621 0.621
8 Hg 0.872 0.872 0.872

***

La2MgZn4Hg3: optimized geometry, PBE.

Mass density ... 8.4 g/cm³
Energy of formation from the pure elements ... -0.302 eV per atom
Crystal system ... tetragonal
Size of the total moment ... 0.00 μB per formula unit
Uncorrected energy ... -2.047 eV per atom

abc: 4.437 4.437 11.658
angles: 90.00 90.00 90.00
Fractional coordinates of all 10 atoms:
1 La 0.000 0.500 0.239
2 La 0.500 0.000 0.761
3 Mg 0.000 0.000 0.500
4 Zn 0.000 0.000 0.000
5 Zn 0.000 0.500 0.642
6 Zn 0.500 0.000 0.358
7 Zn 0.500 0.500 0.000
8 Hg 0.000 0.500 0.867
9 Hg 0.500 0.000 0.133
10 Hg 0.500 0.500 0.500

***

LaMg2Zn2Hg2: optimized geometry, PBE.

Mass density ... 7.5 g/cm³
Energy of formation from the pure elements ... -0.253 eV per atom
Crystal system ... trigonal
Size of the total moment ... 0.00 μB per formula unit
Uncorrected energy ... -1.862 eV per atom

abc: 8.885 8.885 8.885
angles: 30.47 30.47 30.47
Fractional coordinates of all 7 atoms:
1 La 0.000 0.000 0.000
2 Mg 0.136 0.136 0.136
3 Mg 0.864 0.864 0.864
4 Zn 0.254 0.254 0.254
5 Zn 0.746 0.746 0.746
6 Hg 0.417 0.417 0.417
7 Hg 0.583 0.583 0.583

***

La4MgZn2Hg: optimized geometry, PBE.

Mass density ... 6.6 g/cm³
Energy of formation from the pure elements ... -0.295 eV per atom
Crystal system ... trigonal
Size of the total moment ... 0.00 μB per formula unit
Uncorrected energy ... -3.315 eV per atom

abc: 9.453 9.453 9.453
angles: 33.45 33.45 33.45
Fractional coordinates of all 8 atoms:
1 La 0.124 0.124 0.124
2 La 0.374 0.374 0.374
3 La 0.626 0.626 0.626
4 La 0.876 0.876 0.876
5 Mg 0.500 0.500 0.500
6 Zn 0.244 0.244 0.244
7 Zn 0.756 0.756 0.756
8 Hg 0.000 0.000 0.000